No. 1
Here is a relaxed FeAu2N crystal from the Alexandria database. Energies are from PBE-GGA.

Geometry as POSCAR:
```
FeAu2N
1.0
2.933 0.000 0.000
-1.466 2.540 0.000
0.000 0.000 7.645
Fe Au N
1 2 1
Direct
0.000 0.000 0.000
0.333 0.667 0.387
0.667 0.333 0.706
0.333 0.667 0.070
```

Calculated values
The uncorrected formation energy comes out at 128 meV/atom. As for the final energy: -0.210 Ha/atom. For the polymorph energy (0 for the lowest one), the calculation gives 0.87 kJ/mol of atoms. The density of states at the Fermi level comes out at 2.39 states/eV per cell. The space group is P3m1 (156).

***

No. 2
Here is a relaxed FeAuN2 crystal from the Alexandria database. Energies are from PBE-GGA.

Geometry as POSCAR:
```
FeAuN2
1.0
5.544 0.000 0.000
0.000 5.544 0.000
0.000 0.000 5.544
Fe Au N
4 4 8
Direct
0.000 0.000 0.000
0.000 0.500 0.500
0.500 0.000 0.500
0.500 0.500 0.000
0.000 0.000 0.500
0.000 0.500 0.000
0.500 0.000 0.000
0.500 0.500 0.500
0.250 0.250 0.250
0.250 0.250 0.750
0.250 0.750 0.250
0.250 0.750 0.750
0.750 0.250 0.250
0.750 0.250 0.750
0.750 0.750 0.250
0.750 0.750 0.750
```

Calculated values
The uncorrected formation energy comes out at 1588 meV/atom. As for the final energy: -0.202 Ha/atom. For the polymorph energy (0 for the lowest one), the calculation gives 93.93 kJ/mol of atoms. The density of states at the Fermi level comes out at 16.68 states/eV per cell. The space group is Fm-3m (225).

***

Copy entry 2 word for word.
Here is a relaxed FeAuN2 crystal from the Alexandria database. Energies are from PBE-GGA.

Geometry as POSCAR:
```
FeAuN2
1.0
5.544 0.000 0.000
0.000 5.544 0.000
0.000 0.000 5.544
Fe Au N
4 4 8
Direct
0.000 0.000 0.000
0.000 0.500 0.500
0.500 0.000 0.500
0.500 0.500 0.000
0.000 0.000 0.500
0.000 0.500 0.000
0.500 0.000 0.000
0.500 0.500 0.500
0.250 0.250 0.250
0.250 0.250 0.750
0.250 0.750 0.250
0.250 0.750 0.750
0.750 0.250 0.250
0.750 0.250 0.750
0.750 0.750 0.250
0.750 0.750 0.750
```

Calculated values
The uncorrected formation energy comes out at 1588 meV/atom. As for the final energy: -0.202 Ha/atom. For the polymorph energy (0 for the lowest one), the calculation gives 93.93 kJ/mol of atoms. The density of states at the Fermi level comes out at 16.68 states/eV per cell. The space group is Fm-3m (225).